Below is a geometry-optimized BaZn3Au9 structure, with properties calculated at the PBE level.

abc: 7.4358 7.4358 6.9539
angles: 96.76 96.76 136.57
Last column: nearest neighbours and their distance in Å.
Atoms (fractional coordinates):
Ba  0.0000  0.0000  0.0000  14 Au 3.33-3.52, 6 Zn 3.68-3.72
Zn  0.0000  0.5000  0.0000  8 Au 2.74-2.80, 2 Zn 2.75
Zn  0.5000  0.0000  0.0000  8 Au 2.74-2.80, 2 Zn 2.75
Zn  0.5000  0.5000  0.5000  6 Au 2.64-2.75
Au  0.0000  0.0000  0.5000  2 Zn 2.75, 8 Au 2.91-2.94
Au  0.0437  0.6854  0.6619  2 Zn 2.79-2.80, 7 Au 2.91-3.08
Au  0.3027  0.5305  0.7770  3 Zn 2.64-2.77, 2 Au 2.94
Au  0.3146  0.9563  0.3381  2 Zn 2.79-2.80, 7 Au 2.91-3.08
Au  0.4695  0.6973  0.2230  3 Zn 2.64-2.77, 2 Au 2.94
Au  0.5305  0.3027  0.7770  3 Zn 2.64-2.77, 2 Au 2.94
Au  0.6854  0.0437  0.6619  2 Zn 2.79-2.80, 7 Au 2.91-3.08
Au  0.6973  0.4695  0.2230  3 Zn 2.64-2.77, 2 Au 2.94
Au  0.9563  0.3146  0.3381  2 Zn 2.79-2.80, 7 Au 2.91-3.08

symmetry = C2/m (12)
ΔH_f (0 K) = -0.287 eV/atom

***

Below is a geometry-optimized BaZnAu2 structure, with properties calculated at the PBE level.

abc: 4.6525 4.6525 6.2567
angles: 111.69 111.69 59.86
Last column: nearest neighbours and their distance in Å.
Atoms (fractional coordinates):
Ba  0.0000  0.0000  0.0000  4 Zn 3.39-3.52, 7 Au 3.40-3.55
Zn  0.7994  0.7994  0.4018  6 Au 2.68-2.92
Au  0.1997  0.1997  0.6016  3 Au 2.90, 3 Zn 2.91-2.92
Au  0.4691  0.4691  0.4094  3 Zn 2.68, 3 Au 2.90

symmetry = Cm (8)
ΔH_f (0 K) = -0.499 eV/atom

***

Below is a geometry-optimized Ba4ZnAu2 structure, with properties calculated at the PBE level.

abc: 9.1879 9.1879 9.1879
angles: 139.39 139.39 58.79
Last column: nearest neighbours and their distance in Å.
Atoms (fractional coordinates):
Ba  0.0000  0.5000  0.5000  2 Zn 3.19, 4 Au 3.49
Ba  0.2122  0.2122  0.0000  1 Au 3.19, 1 Zn 3.40
Ba  0.5000  0.0000  0.5000  2 Zn 3.19, 4 Au 3.49
Ba  0.7878  0.7878  0.0000  1 Au 3.19, 1 Zn 3.40
Zn  0.0000  0.0000  0.0000  6 Ba 3.19-3.40
Au  0.4112  0.4112  0.0000  1 Au 2.84
Au  0.5888  0.5888  0.0000  1 Au 2.84

symmetry = I4/mmm (139)
ΔH_f (0 K) = -0.271 eV/atom

***

no.,D(E_F) (states/eV per cell)
1,2.87
2,1.18
3,4.66